First-principles (PBE) data for an optimized crystal structure of Y2SnPb, as listed in Alexandria.

a = 3.517 Å, b = 3.517 Å, c = 8.884 Å
α = 90.00°, β = 90.00°, γ = 90.00°
Fractional coordinates of all 4 atoms:
Y1 0.000 0.000 0.242
Y2 0.000 0.000 0.758
Sn1 0.500 0.500 0.000
Pb1 0.500 0.500 0.500

As for the excess energy over the best structure of this formula in the dataset: 32 kJ/mol of formula units. As for the space group: P4/mmm, No. 123.


First-principles (PBE) data for an optimized crystal structure of Y2Sn4Pb, as listed in Alexandria.

a = 6.597 Å, b = 6.597 Å, c = 6.564 Å
α = 119.74°, β = 119.74°, γ = 90.31°
Fractional coordinates of all 7 atoms:
Y1 0.000 0.500 0.000
Y2 0.500 0.000 0.000
Sn1 0.000 0.000 0.500
Sn2 0.000 0.500 0.500
Sn3 0.500 0.000 0.500
Sn4 0.500 0.500 0.500
Pb1 0.000 0.000 0.000

As for the space group: C2/m, No. 12. The energy comes out at -5.03 eV/atom.


First-principles (PBE) data for an optimized crystal structure of YSn2Pb2, as listed in Alexandria.

a = 8.488 Å, b = 8.488 Å, c = 8.488 Å
α = 149.56°, β = 149.56°, γ = 43.58°
Fractional coordinates of all 5 atoms:
Y1 0.000 0.000 0.000
Sn1 0.410 0.410 0.000
Sn2 0.590 0.590 0.000
Pb1 0.250 0.750 0.500
Pb2 0.750 0.250 0.500

As for the excess energy over the best structure of this formula in the dataset: 111 kJ/mol of formula units. As for the space group: I4/mmm, No. 139.


First-principles (PBE) data for an optimized crystal structure of YSnPb, as listed in Alexandria.

a = 8.517 Å, b = 8.517 Å, c = 4.418 Å
α = 90.00°, β = 90.00°, γ = 148.74°
Fractional coordinates of all 6 atoms:
Y1 0.093 0.907 0.750
Y2 0.907 0.093 0.250
Sn1 0.435 0.565 0.750
Sn2 0.565 0.435 0.250
Pb1 0.252 0.748 0.250
Pb2 0.748 0.252 0.750

As for the excess energy over the best structure of this formula in the dataset: 0 kJ/mol of formula units. As for the space group: Cmcm, No. 63.


Values of magnetization, in order: 0.00; 0.00; 0.00; 0.00, all in μB/cell.